Record 1
A plane-wave DFT calculation with PBE-GGA was carried out for Cs4Tl3I10 after structural relaxation.

The space group is C2/m (No. 12) and the conventional cell measures 8.839, 8.850 and 22.661 Å, with angles of 90.00, 101.11 and 90.00 degrees. The asymmetric unit holds Cs at (0.064, 0.000, 0.136), Cs at (0.196, 0.000, 0.397), Tl at (0.000, 0.500, 0.000), Tl at (0.144, 0.500, 0.289), I at (0.070, 0.500, 0.140), I at (0.111, 0.250, 0.721), I at (0.215, 0.500, 0.429) and I at (0.250, 0.250, 0.000).

Record 2
A plane-wave DFT calculation with PBE-GGA was carried out for CsTlI2 after structural relaxation.

The space group is I-42d (No. 122) and the conventional cell measures 8.367, 8.367 and 16.376 Å, with angles of 90.00, 90.00 and 90.00 degrees. The asymmetric unit holds Cs at (0.000, 0.000, 0.000), Tl at (0.000, 0.000, 0.500) and I at (0.214, 0.250, 0.625).

The excess energy over the best structure of this formula in the dataset is 0.28 eV/f.u.

Record 3
A plane-wave DFT calculation with PBE-GGA was carried out for Cs3TlI6 after structural relaxation.

The space group is Fm-3m (No. 225) and the conventional cell measures 13.242, 13.242 and 13.242 Å, with angles of 90.00, 90.00 and 90.00 degrees. The asymmetric unit holds Cs at (0.000, 0.000, 0.000), Cs at (0.250, 0.250, 0.250), Tl at (0.000, 0.000, 0.500) and I at (0.000, 0.000, 0.272).

The excess energy over the best structure of this formula in the dataset is 0.40 eV/f.u.

no.,formation energy from raw total energies (kcal/mol of atoms)
1,-21.5
2,-23.7
3,-22.4